A relaxed La4Pr5Sc crystal, computed with PBE-GGA.

Output
N(E_F): 22.23 states/eV/cell
Mass density: 6.16 g/cm3
E above lowest polymorph: 37 meV/atom

Lattice parameters (Å, degrees): 4.3253 4.3253 18.8173 90.00 90.00 90.00
Closest atoms and distances in Å follow each position.
Fractional positions:
La (0.0000, 0.0000, 0.1049)  8 Pr 3.58-3.64, 2 La 3.67-3.95
La (0.0000, 0.0000, 0.2998)  8 Pr 3.56-3.68, 1 La 3.67, 1 Sc 3.77
La (0.0000, 0.0000, 0.7002)  8 Pr 3.56-3.68, 1 La 3.67, 1 Sc 3.77
La (0.0000, 0.0000, 0.8951)  8 Pr 3.58-3.64, 2 La 3.67-3.95
Pr (0.5000, 0.5000, 0.0000)  8 La 3.64, 2 Pr 3.83
Pr (0.5000, 0.5000, 0.2035)  8 La 3.56-3.58, 2 Pr 3.83-3.86
Pr (0.5000, 0.5000, 0.4084)  2 Pr 3.45-3.86, 4 Sc 3.51, 4 La 3.68
Pr (0.5000, 0.5000, 0.5916)  2 Pr 3.45-3.86, 4 Sc 3.51, 4 La 3.68
Pr (0.5000, 0.5000, 0.7965)  8 La 3.56-3.58, 2 Pr 3.83-3.86
Sc (0.0000, 0.0000, 0.5000)  8 Pr 3.51, 2 La 3.77